! Hg7Sb2I2 | the Alexandria database | PBE | optimized geometry; values from VASP
&SYSTEM
  ibrav = 0, nat = 11, ntyp = 3
/
ATOMIC_SPECIES
I 126.90 I.upf
Hg 200.59 Hg.upf
Sb 121.76 Sb.upf
ATOMIC_POSITIONS crystal
I 0.000 0.274 0.726
I 0.000 0.726 0.274
Hg 0.720 0.547 0.050
Hg 0.720 0.050 0.547
Hg 0.280 0.950 0.453
Hg 0.500 0.000 0.000
Hg 0.099 0.758 0.758
Hg 0.280 0.453 0.950
Hg 0.901 0.242 0.242
Sb 0.605 0.763 0.763
Sb 0.395 0.237 0.237
CELL_PARAMETERS angstrom
-1.982 -3.788 -4.211
6.633 0.602 -4.796
3.336 -6.715 3.337
! Energy ... -13.47 eV for the cell shown
! Formation energy from raw total energies ... -0.001 eV per atom